Record 1
First-principles (PBE) data for a relaxed structure of Zr6FeS2, as listed in the Alexandria database.

Cell lengths 3.444, 12.791, 15.617 Å; angles 90.00, 90.00, 90.00 degrees
Atoms (fractional coordinates):
Zr 0.000 0.912 0.420
Zr 0.000 0.088 0.580
Zr 0.000 0.415 0.250
Zr 0.000 0.698 0.296
Zr 0.500 0.525 0.395
Zr 0.000 0.025 0.105
Zr 0.000 0.669 0.515
Zr 0.000 0.378 0.913
Zr 0.000 0.975 0.895
Zr 0.500 0.085 0.750
Zr 0.500 0.802 0.796
Zr 0.500 0.588 0.920
Zr 0.500 0.198 0.204
Zr 0.500 0.831 0.015
Zr 0.000 0.622 0.087
Zr 0.000 0.302 0.704
Zr 0.500 0.412 0.080
Zr 0.500 0.878 0.587
Zr 0.500 0.122 0.413
Zr 0.500 0.915 0.250
Zr 0.500 0.475 0.605
Zr 0.000 0.585 0.750
Zr 0.500 0.169 0.985
Zr 0.000 0.331 0.485
S 0.000 0.934 0.712
S 0.500 0.313 0.348
S 0.000 0.066 0.288
S 0.500 0.434 0.788
S 0.000 0.187 0.848
S 0.000 0.813 0.152
S 0.500 0.566 0.212
S 0.500 0.687 0.652
Fe 0.000 0.739 0.911
Fe 0.500 0.761 0.411
Fe 0.000 0.261 0.089
Fe 0.500 0.239 0.589

Summary:
* magnetic moment: 0.000 μB per formula unit
* density of states at the Fermi level: 0.8154 states/eV/atom

---

Record 2
First-principles (PBE) data for a relaxed structure of ZrFeS3, as listed in the Alexandria database.

Cell lengths 4.948, 4.948, 4.948 Å; angles 90.00, 90.00, 90.00 degrees
Site moments in Bohr magnetons follow the coordinates.
Atoms (fractional coordinates):
Fe 0.500 0.500 0.500  3.34
S 0.000 0.500 0.000  0.12
S 0.000 0.000 0.500  0.07
S 0.500 0.000 0.000  0.11
Zr 0.000 0.000 0.000  -0.02

Summary:
* magnetic moment: 3.960 μB per formula unit
* density of states at the Fermi level: 1.3686 states/eV/atom

---

Record 3
First-principles (PBE) data for a relaxed structure of ZrFe2S, as listed in the Alexandria database.

Cell lengths 6.948, 6.948, 5.528 Å; angles 51.06, 51.06, 90.00 degrees
Site moments in Bohr magnetons follow the coordinates.
Atoms (fractional coordinates):
Zr 0.750 0.250 0.500  -0.20
Zr 0.000 0.000 0.000  -0.20
Fe 0.214 0.625 0.250  1.81
Fe 0.536 0.125 0.250  1.79
Fe 0.875 0.786 0.750  1.85
Fe 0.375 0.464 0.750  1.84
S 0.250 0.750 0.500  0.00
S 0.500 0.500 0.000  0.00

Summary:
* magnetic moment: 3.360 μB per formula unit
* density of states at the Fermi level: 1.2053 states/eV/atom

---

Record 4
First-principles (PBE) data for a relaxed structure of Zr3FeS, as listed in the Alexandria database.

Cell lengths 4.749, 4.749, 4.749 Å; angles 90.00, 90.00, 90.00 degrees
Site moments in Bohr magnetons follow the coordinates.
Atoms (fractional coordinates):
Zr 0.000 0.500 0.000  0.01
Zr 0.500 0.000 0.000  0.01
Zr 0.000 0.000 0.500  0.01
Fe 0.500 0.500 0.500  -0.19
S 0.000 0.000 0.000  0.00

Summary:
* magnetic moment: 0.094 μB per formula unit
* density of states at the Fermi level: 1.4414 states/eV/atom

---

Number 1: raw formation energy -692 kJ/mol of formula units. Number 2: raw formation energy -28 kJ/mol of formula units. Number 3: raw formation energy -52 kJ/mol of formula units. Number 4: raw formation energy 25 kJ/mol of formula units.